Entry 1:
Material: NdTmMg5
Method: DFT, PBE-GGA
State: optimized geometry

For the total energy, the calculation gives -16.5 eV per formula unit. Its crystal system is monoclinic. The calculation puts the density of states at the Fermi level at 9.562 states/eV/cell. The calculation puts the formation energy at 0.104 eV per atom.

It has space group C2/m (No. 12), with a = 6.2907 Å, b = 9.7046 Å, c = 6.7459 Å, α = 90.00°, β = 110.18° and γ = 90.00°. Symmetry generates all atoms from Nd at (0.0000, 0.0000, 0.0000), Tm at (0.0000, 0.5000, 0.5000), Mg at (0.0000, 0.0000, 0.5000) and Mg at (0.2015, 0.2881, 0.2306).

---

Entry 2:
Material: Nd5TmMg
Method: DFT, PBE-GGA
State: optimized geometry

For the total energy, the calculation gives -23.8 eV per formula unit. Its crystal system is monoclinic. The calculation puts the density of states at the Fermi level at 22.156 states/eV/cell. The calculation puts the formation energy at 0.869 eV per atom.

It has space group C2/m (No. 12), with a = 11.7194 Å, b = 8.7644 Å, c = 6.0028 Å, α = 90.00°, β = 93.49° and γ = 90.00°. Symmetry generates all atoms from Nd at (0.0000, 0.0000, 0.0000), Nd at (0.0000, 0.3260, 0.5000), Nd at (0.2473, 0.0000, 0.3481), Tm at (0.0000, 0.5000, 0.0000) and Mg at (0.0000, 0.0000, 0.5000).

---

Entry 3:
Material: NdTm2Mg4
Method: DFT, PBE-GGA
State: optimized geometry

Its relative energy among the computed polymorphs is 0 meV per atom. For the total energy, the calculation gives -19.0 eV per formula unit. Its crystal system is tetragonal. The calculation puts the density of states at the Fermi level at 13.695 states/eV/cell. The calculation puts the formation energy at 0.152 eV per atom.

It has space group I4/mmm (No. 139), with a = 5.3586 Å, b = 5.3586 Å, c = 14.6253 Å, α = 90.00°, β = 90.00° and γ = 90.00°. Symmetry generates all atoms from Nd at (0.0000, 0.0000, 0.0000), Tm at (0.0000, 0.0000, 0.2493) and Mg at (0.0000, 0.5000, 0.1210).

---

Entry 4:
Material: Nd8Tm6Mg
Method: DFT, PBE-GGA
State: optimized geometry

For the total energy, the calculation gives -64.4 eV per formula unit. Its crystal system is trigonal. The calculation puts the density of states at the Fermi level at 21.667 states/eV/cell. The calculation puts the formation energy at 0.142 eV per atom.

It has space group P-3 (No. 147), with a = 9.3404 Å, b = 9.3404 Å, c = 6.4922 Å, α = 90.00°, β = 90.00° and γ = 120.00°. Symmetry generates all atoms from Nd at (0.0397, 0.7614, 0.1751), Nd at (0.3333, 0.6667, 0.1395), Tm at (0.0975, 0.6519, 0.6627) and Mg at (0.0000, 0.0000, 0.5000).

---

Entry 5:
Material: Nd8Tm5Mg
Method: DFT, PBE-GGA
State: optimized geometry

For the total energy, the calculation gives -58.9 eV per formula unit. Its crystal system is tetragonal. The calculation puts the density of states at the Fermi level at 49.708 states/eV/cell. The calculation puts the formation energy at 0.230 eV per atom.

It has space group I-4 (No. 82), with a = 10.3724 Å, b = 10.3724 Å, c = 8.8673 Å, α = 90.00°, β = 90.00° and γ = 90.00°. Symmetry generates all atoms from Nd at (0.0047, 0.1672, 0.3241), Nd at (0.1639, 0.7335, 0.9469), Tm at (0.0000, 0.5000, 0.2500), Tm at (0.0962, 0.6240, 0.6028) and Mg at (0.0000, 0.0000, 0.0000).

---

Entry 6:
Material: Nd4Tm3Mg2
Method: DFT, PBE-GGA
State: optimized geometry

For the total energy, the calculation gives -35.7 eV per formula unit. Its crystal system is trigonal. The calculation puts the density of states at the Fermi level at 9.484 states/eV/cell. The calculation puts the formation energy at 0.000 eV per atom.

It has space group P-3m1 (No. 164), with a = 5.5703 Å, b = 5.5703 Å, c = 10.3685 Å, α = 90.00°, β = 90.00° and γ = 120.00°. Symmetry generates all atoms from Nd at (0.0000, 0.0000, 0.1686), Nd at (0.3333, 0.6667, 0.6220), Tm at (0.0000, 0.0000, 0.5000), Tm at (0.3333, 0.6667, 0.9730) and Mg at (0.3333, 0.6667, 0.2914).